DFT (PBE) results for a geometry-optimized Mg2TiIn structure. Values from VASP.

Structure (Quantum ESPRESSO input):
```
&SYSTEM
  ibrav = 0, nat = 4, ntyp = 3
/
ATOMIC_SPECIES
Mg 24.30 Mg.upf
Ti 47.87 Ti.upf
In 114.82 In.upf
CELL_PARAMETERS angstrom
3.076 0.000 0.000
0.000 3.076 0.000
0.000 0.000 8.893
ATOMIC_POSITIONS angstrom
Mg 0.000 0.000 2.105
Mg 0.000 0.000 6.788
Ti 1.538 1.538 0.000
In 1.538 1.538 4.446
```

Output
* energy relative to the elements: 0.06 eV per atom
* SG: P4/mmm (123)